1.
RbGa4Au2 | PBE-GGA | optimized geometry

total magnetization: 0.00 μB/atom
ΔH_f (0 K): -0.180 eV per atom
E: -2.98 eV per atom
density of states at the Fermi level: 2.77 states/eV/f.u.
ΔE to the lowest computed polymorph: 2.7 kJ/mol of atoms

Cell lengths 8.764, 8.764, 4.076 Å; angles 90.00, 90.00, 90.00 degrees
Atoms (fractional coordinates):
Rb 0.000 0.000 0.000
Rb 0.500 0.500 0.500
Ga 0.067 0.344 0.500
Ga 0.156 0.567 0.000
Ga 0.344 0.067 0.500
Ga 0.433 0.844 0.000
Ga 0.567 0.156 0.000
Ga 0.656 0.933 0.500
Ga 0.844 0.433 0.000
Ga 0.933 0.656 0.500
Au 0.229 0.771 0.500
Au 0.271 0.271 0.000
Au 0.729 0.729 0.000
Au 0.771 0.229 0.500

2.
RbGaAu2 | PBE-GGA | optimized geometry

total magnetization: 0.00 μB/atom
ΔH_f (0 K): -0.085 eV per atom
E: -2.72 eV per atom
density of states at the Fermi level: 1.62 states/eV/f.u.

Cell lengths 3.551, 3.551, 7.987 Å; angles 90.00, 90.00, 90.00 degrees
Atoms (fractional coordinates):
Rb 0.000 0.000 0.000
Ga 0.000 0.000 0.500
Au 0.500 0.500 0.319
Au 0.500 0.500 0.681

3.
Rb3Ga4Au2 | PBE-GGA | optimized geometry

total magnetization: 0.00 μB/atom
ΔH_f (0 K): -0.187 eV per atom
E: -2.58 eV per atom
density of states at the Fermi level: 3.04 states/eV/f.u.

Cell lengths 4.572, 6.976, 9.456 Å; angles 95.96, 103.86, 108.96 degrees
Atoms (fractional coordinates):
Rb 0.000 0.000 0.000
Rb 0.256 0.873 0.639
Rb 0.744 0.127 0.361
Ga 0.339 0.590 0.079
Ga 0.483 0.580 0.380
Ga 0.517 0.420 0.620
Ga 0.661 0.410 0.921
Au 0.083 0.405 0.769
Au 0.917 0.595 0.231

4.
RbGa4Au2 | PBE-GGA | optimized geometry

total magnetization: 0.00 μB/atom
ΔH_f (0 K): -0.208 eV per atom
E: -3.01 eV per atom
density of states at the Fermi level: 1.81 states/eV/f.u.
ΔE to the lowest computed polymorph: 0.0 kJ/mol of atoms

Cell lengths 7.422, 7.422, 7.422 Å; angles 105.75, 105.75, 117.19 degrees
Atoms (fractional coordinates):
Rb 0.250 0.250 0.000
Rb 0.750 0.750 0.000
Ga 0.023 0.523 0.219
Ga 0.195 0.977 0.500
Ga 0.305 0.805 0.781
Ga 0.477 0.695 0.500
Ga 0.523 0.305 0.500
Ga 0.695 0.195 0.219
Ga 0.805 0.023 0.500
Ga 0.977 0.477 0.781
Au 0.156 0.344 0.500
Au 0.344 0.844 0.189
Au 0.656 0.156 0.811
Au 0.844 0.656 0.500

5.
RbGa2Au3 | PBE-GGA | optimized geometry

total magnetization: 0.00 μB/atom
ΔH_f (0 K): -0.334 eV per atom
E: -3.14 eV per atom
density of states at the Fermi level: 2.16 states/eV/f.u.
ΔE to the lowest computed polymorph: 0.2 kJ/mol of atoms

Cell lengths 7.113, 7.113, 5.772 Å; angles 90.00, 90.00, 72.21 degrees
Atoms (fractional coordinates):
Rb 0.148 0.852 0.750
Rb 0.852 0.148 0.250
Ga 0.307 0.307 0.000
Ga 0.307 0.307 0.500
Ga 0.693 0.693 0.000
Ga 0.693 0.693 0.500
Au 0.014 0.582 0.250
Au 0.418 0.986 0.250
Au 0.423 0.577 0.250
Au 0.577 0.423 0.750
Au 0.582 0.014 0.750
Au 0.986 0.418 0.750

6.
RbGa2Au3 | PBE-GGA | optimized geometry

total magnetization: 0.00 μB/atom
ΔH_f (0 K): -0.336 eV per atom
E: -3.14 eV per atom
density of states at the Fermi level: 1.54 states/eV/f.u.
ΔE to the lowest computed polymorph: 0.0 kJ/mol of atoms

Cell lengths 13.583, 5.744, 7.135 Å; angles 90.00, 90.00, 90.00 degrees
Atoms (fractional coordinates):
Rb 0.074 0.250 0.102
Rb 0.426 0.750 0.602
Rb 0.574 0.250 0.398
Rb 0.926 0.750 0.898
Ga 0.154 0.502 0.604
Ga 0.154 0.998 0.604
Ga 0.346 0.002 0.104
Ga 0.346 0.498 0.104
Ga 0.654 0.502 0.896
Ga 0.654 0.998 0.896
Ga 0.846 0.002 0.396
Ga 0.846 0.498 0.396
Au 0.005 0.750 0.419
Au 0.209 0.750 0.300
Au 0.214 0.750 0.891
Au 0.286 0.250 0.391
Au 0.291 0.250 0.800
Au 0.495 0.250 0.919
Au 0.505 0.750 0.081
Au 0.709 0.750 0.200
Au 0.714 0.750 0.609
Au 0.786 0.250 0.109
Au 0.791 0.250 0.700
Au 0.995 0.250 0.581

7.
Rb3Ga2Au5 | PBE-GGA | optimized geometry

total magnetization: 0.00 μB/atom
ΔH_f (0 K): -0.104 eV per atom
E: -2.64 eV per atom
density of states at the Fermi level: 3.87 states/eV/f.u.

Cell lengths 9.884, 9.884, 9.884 Å; angles 121.20, 76.31, 135.94 degrees
Atoms (fractional coordinates):
Rb 0.121 0.736 0.857
Rb 0.250 0.250 0.000
Rb 0.379 0.236 0.616
Rb 0.621 0.764 0.384
Rb 0.750 0.750 0.000
Rb 0.879 0.264 0.143
Ga 0.175 0.125 0.300
Ga 0.325 0.625 0.950
Ga 0.675 0.375 0.050
Ga 0.825 0.875 0.700
Au 0.007 0.750 0.257
Au 0.114 0.365 0.478
Au 0.250 0.750 0.500
Au 0.386 0.865 0.251
Au 0.493 0.750 0.743
Au 0.507 0.250 0.257
Au 0.614 0.135 0.749
Au 0.750 0.250 0.500
Au 0.886 0.635 0.522
Au 0.993 0.250 0.743

8.
RbGa2Au3 | PBE-GGA | optimized geometry

total magnetization: 0.00 μB/atom
ΔH_f (0 K): -0.244 eV per atom
E: -3.05 eV per atom
density of states at the Fermi level: 2.51 states/eV/f.u.
ΔE to the lowest computed polymorph: 8.9 kJ/mol of atoms

Cell lengths 8.531, 8.531, 8.198 Å; angles 111.52, 111.52, 31.65 degrees
Atoms (fractional coordinates):
Rb 0.172 0.172 0.092
Rb 0.828 0.828 0.908
Ga 0.151 0.151 0.577
Ga 0.477 0.477 0.821
Ga 0.523 0.523 0.179
Ga 0.849 0.849 0.423
Au 0.003 0.003 0.699
Au 0.312 0.312 0.574
Au 0.403 0.403 0.332
Au 0.597 0.597 0.668
Au 0.688 0.688 0.426
Au 0.997 0.997 0.301